Here is a relaxed Sm3Ga3Co2 crystal from Alexandria. Energies are from PBE-GGA.

Lattice parameters (Å, degrees): 5.8330 5.8330 15.3485 90.00 90.00 140.97
With the nearest neighbours (Å) after each atom.
Fractional positions:
Sm: 0.0646 0.9354 0.6050  3 Co 2.96-3.28, 5 Ga 3.04-3.21
Sm: 0.0646 0.9354 0.8950  3 Co 2.96-3.28, 5 Ga 3.04-3.21
Sm: 0.3391 0.6609 0.7500  4 Co 2.96, 5 Ga 3.01-3.27
Sm: 0.6609 0.3391 0.2500  4 Co 2.96, 5 Ga 3.01-3.27
Sm: 0.9354 0.0646 0.1050  3 Co 2.96-3.28, 5 Ga 3.04-3.21
Sm: 0.9354 0.0646 0.3950  3 Co 2.96-3.28, 5 Ga 3.04-3.21
Ga: 0.3402 0.6598 0.5367  3 Co 2.42-2.60
Ga: 0.3402 0.6598 0.9633  3 Co 2.42-2.60
Ga: 0.3699 0.6301 0.2500  2 Co 2.57
Ga: 0.6301 0.3699 0.7500  2 Co 2.57
Ga: 0.6598 0.3402 0.0367  3 Co 2.42-2.60
Ga: 0.6598 0.3402 0.4633  3 Co 2.42-2.60
Co: 0.2335 0.7665 0.1143  4 Ga 2.42-2.60
Co: 0.2335 0.7665 0.3857  4 Ga 2.42-2.60
Co: 0.7665 0.2335 0.6143  4 Ga 2.42-2.60
Co: 0.7665 0.2335 0.8857  4 Ga 2.42-2.60

## Properties
Calculated formation energy: -464 meV per atom
M_tot: 0.00 μB per cell

Here is a relaxed SmGa6Co2 crystal from Alexandria. Energies are from PBE-GGA.

Lattice parameters (Å, degrees): 8.0979 8.0979 8.0979 60.00 60.00 60.00
With the nearest neighbours (Å) after each atom.
Fractional positions:
Sm: 0.1250 0.1250 0.1250  6 Ga 3.15
Sm: 0.8750 0.8750 0.8750  6 Ga 3.15
Ga: 0.1499 0.1499 0.6001  2 Co 2.33
Ga: 0.1499 0.6001 0.1499  2 Co 2.33
Ga: 0.1499 0.6001 0.6001  2 Co 2.33
Ga: 0.3999 0.3999 0.8501  2 Co 2.33
Ga: 0.3999 0.8501 0.3999  2 Co 2.33
Ga: 0.3999 0.8501 0.8501  2 Co 2.33
Ga: 0.6001 0.1499 0.1499  2 Co 2.33
Ga: 0.6001 0.1499 0.6001  2 Co 2.33
Ga: 0.6001 0.6001 0.1499  2 Co 2.33
Ga: 0.8501 0.3999 0.3999  2 Co 2.33
Ga: 0.8501 0.3999 0.8501  2 Co 2.33
Ga: 0.8501 0.8501 0.3999  2 Co 2.33
Co: 0.0000 0.5000 0.5000  6 Ga 2.33
Co: 0.5000 0.0000 0.5000  6 Ga 2.33
Co: 0.5000 0.5000 0.0000  6 Ga 2.33
Co: 0.5000 0.5000 0.5000  6 Ga 2.33

## Properties
Calculated formation energy: 98 meV per atom
M_tot: 0.00 μB per cell

Here is a relaxed SmGa11Co crystal from Alexandria. Energies are from PBE-GGA.

Lattice parameters (Å, degrees): 6.6873 6.6873 7.5525 95.30 95.30 134.17
With the nearest neighbours (Å) after each atom.
Fractional positions:
Sm: 0.0000 0.0000 0.0000  16 Ga 3.21-3.57
Ga: 0.0000 0.0000 0.5000  2 Co 2.60, 8 Ga 2.69-2.77
Ga: 0.0000 0.5000 0.0000  6 Ga 2.60-2.91
Ga: 0.0486 0.3901 0.3700  1 Co 2.62, 4 Ga 2.68-2.93
Ga: 0.2677 0.4808 0.7652  1 Co 2.60, 5 Ga 2.63-2.91
Ga: 0.3901 0.0486 0.3700  1 Co 2.62, 4 Ga 2.68-2.93
Ga: 0.4808 0.2677 0.7652  1 Co 2.60, 5 Ga 2.63-2.91
Ga: 0.5000 0.0000 0.0000  6 Ga 2.60-2.91
Ga: 0.5192 0.7323 0.2348  1 Co 2.60, 5 Ga 2.63-2.91
Ga: 0.6099 0.9514 0.6300  1 Co 2.62, 4 Ga 2.68-2.93
Ga: 0.7323 0.5192 0.2348  1 Co 2.60, 5 Ga 2.63-2.91
Ga: 0.9514 0.6099 0.6300  1 Co 2.62, 4 Ga 2.68-2.93
Co: 0.5000 0.5000 0.5000  10 Ga 2.60-2.62

## Properties
Calculated formation energy: -149 meV per atom
M_tot: 0.00 μB per cell